This record from Alexandria via LeMat-Bulk describes crystalline CoGeTe2N at its relaxed geometry. The functional is PBE.

Calculated values
Volume, Å³/cell: 109
Total energy, eV/cell: -21.26
ΔE_f (raw), meV/atom: 1015
Space-group type: P4/mmm (123)

a = 5.599 Å, b = 5.599 Å, c = 3.481 Å
α = 90.00°, β = 90.00°, γ = 90.00°
Fractional positions:
Ge 0.000 0.000 0.000
Te 0.000 0.500 0.000
Te 0.500 0.000 0.000
Co 0.500 0.500 0.500
N 0.000 0.000 0.500


This record from Alexandria via LeMat-Bulk describes crystalline CoGeTe2N at its relaxed geometry. The functional is PBE.

Calculated values
Volume, Å³/cell: 98
Total energy, eV/cell: -24.77
ΔE_f (raw), meV/atom: 313
Space-group type: P4/mmm (123)

a = 5.369 Å, b = 5.369 Å, c = 3.414 Å
α = 90.00°, β = 90.00°, γ = 90.00°
Fractional positions:
Ge 0.500 0.500 0.500
Te 0.000 0.500 0.000
Te 0.500 0.000 0.000
Co 0.000 0.000 0.000
N 0.000 0.000 0.500